# 1
Entry from Alexandria: an optimized crystal structure of IrAu2Cl (PBE).

Values from the calculation:
- E_tot (eV per cell) = -13.9
- distance to the lowest polymorph of the same formula (meV/atom) = 491
- SG = No. 119
- magnetization (μB per cell) = 1.54
- crystal system = tetragonal

```
IrAu2Cl
1.0
-2.3193 2.3193 3.2985
2.3193 -2.3193 3.2985
2.3193 2.3193 -3.2985
Ir Au Cl
1 2 1
direct
0.0000 0.0000 0.0000 Ir
0.2500 0.7500 0.5000 Au
0.5000 0.5000 0.0000 Au
0.7500 0.2500 0.5000 Cl
```


# 2
Entry from Alexandria: an optimized crystal structure of SmSc2H8 (PBE).

Values from the calculation:
- E_tot (eV per cell) = -50.2
- SG = No. 71
- magnetization (μB per cell) = 0.00
- crystal system = orthorhombic

```
SmSc2H8
1.0
-1.7316 2.5033 5.2248
1.7316 -2.5033 5.2248
1.7316 2.5033 -5.2248
Sm Sc H
1 2 8
direct
0.0000 0.0000 0.0000 Sm
0.3286 0.3286 0.0000 Sc
0.6714 0.6714 0.0000 Sc
0.1069 0.8316 0.2753 H
0.1579 0.6579 0.5000 H
0.2987 0.5000 0.7987 H
0.4436 0.1684 0.2753 H
0.5564 0.8316 0.7247 H
0.7013 0.5000 0.2013 H
0.8421 0.3421 0.5000 H
0.8931 0.1684 0.7247 H
```


# 3
Entry from Alexandria: an optimized crystal structure of NaCaLa (PBE).

Values from the calculation:
- E_tot (eV per cell) = -7.9
- distance to the lowest polymorph of the same formula (meV/atom) = 75
- SG = No. 156
- magnetization (μB per cell) = 0.02
- crystal system = trigonal
- ΔH_f (0 K) (meV/atom) = 109

```
NaCaLa
1.0
3.7555 0.0000 0.0000
-1.8777 3.2523 0.0000
0.0000 0.0000 9.5230
Na Ca La
1 1 1
direct
0.0000 0.0000 0.0000 Na
0.6667 0.3333 0.3387 Ca
0.3333 0.6667 0.6635 La
```


Number 3 is which compound?
NaCaLa